[1]
{"formula": "TbHo4", "functional": "PBE", "state": "relaxed", "formation_enthalpy_0k_mev_per_atom": 20, "polymorph_energy_ev_per_atom": 0.0005, "spacegroup": "I4/mmm", "lattice": [[-1.758, 1.758, 12.498], [1.758, -1.758, 12.498], [1.758, 1.758, -12.498]], "species": ["Tb", "Ho", "Ho", "Ho", "Ho"], "frac_coords": [[0.000, 0.000, 0.000], [0.200, 0.200, 0.000], [0.400, 0.400, 0.000], [0.600, 0.600, 0.000], [0.800, 0.800, 0.000]]}

---

[2]
{"formula": "TbHo4", "functional": "PBE", "state": "relaxed", "formation_enthalpy_0k_mev_per_atom": 724, "polymorph_energy_ev_per_atom": 0.7048, "spacegroup": "Pm-3m", "lattice": [[5.584, 0.000, 0.000], [0.000, 5.584, 0.000], [0.000, 0.000, 5.584]], "species": ["Tb", "Ho", "Ho", "Ho", "Ho"], "frac_coords": [[0.000, 0.000, 0.000], [0.000, 0.000, 0.500], [0.000, 0.500, 0.000], [0.500, 0.000, 0.000], [0.500, 0.500, 0.500]]}

---

[3]
{"formula": "Tb5Ho3", "functional": "PBE", "state": "relaxed", "formation_enthalpy_0k_mev_per_atom": 10, "spacegroup": "Pmm2", "lattice": [[3.621, 0.000, 0.000], [0.000, 5.622, 0.000], [0.000, 0.000, 12.534]], "species": ["Tb", "Tb", "Tb", "Tb", "Tb", "Ho", "Ho", "Ho"], "frac_coords": [[0.000, 0.000, 0.000], [0.000, 0.000, 0.498], [0.000, 0.500, 0.832], [0.500, 0.000, 0.749], [0.500, 0.500, 0.580], [0.000, 0.500, 0.331], [0.500, 0.000, 0.248], [0.500, 0.500, 0.083]]}

---

[4]
{"formula": "Tb3Ho", "functional": "PBE", "state": "relaxed", "formation_enthalpy_0k_mev_per_atom": 11, "polymorph_energy_ev_per_atom": 0.0000, "spacegroup": "Pmm2", "lattice": [[3.624, 0.000, 0.000], [0.000, 5.634, 0.000], [0.000, 0.000, 6.274]], "species": ["Tb", "Tb", "Tb", "Ho"], "frac_coords": [[0.000, 0.000, 0.000], [0.000, 0.500, 0.334], [0.500, 0.500, 0.834], [0.500, 0.000, 0.501]]}

---

[5]
{"formula": "TbHo", "functional": "PBE", "state": "relaxed", "formation_enthalpy_0k_mev_per_atom": 138, "polymorph_energy_ev_per_atom": 0.1302, "spacegroup": "Pm-3m", "lattice": [[3.990, 0.000, 0.000], [0.000, 3.990, 0.000], [0.000, 0.000, 3.990]], "species": ["Tb", "Ho"], "frac_coords": [[0.000, 0.000, 0.000], [0.500, 0.500, 0.500]]}

---

[6]
{"formula": "Tb3Ho", "functional": "PBE", "state": "relaxed", "formation_enthalpy_0k_mev_per_atom": 15, "polymorph_energy_ev_per_atom": 0.0039, "spacegroup": "P2/m", "lattice": [[3.543, 0.000, 0.000], [0.000, 5.012, 0.000], [-0.008, 0.000, 7.087]], "species": ["Tb", "Tb", "Tb", "Ho"], "frac_coords": [[0.000, 0.000, 0.000], [0.499, 0.500, 0.251], [0.501, 0.500, 0.749], [0.000, 0.000, 0.500]]}

---

[7]
{"formula": "Tb2Ho8Tc", "functional": "PBE", "state": "relaxed", "formation_enthalpy_0k_mev_per_atom": 17, "spacegroup": "C2/m", "lattice": [[9.251, -2.722, 0.000], [9.251, 2.722, 0.000], [-0.125, 0.000, 6.423]], "species": ["Tb", "Tb", "Ho", "Ho", "Ho", "Ho", "Ho", "Ho", "Ho", "Ho", "Tc"], "frac_coords": [[0.237, 0.237, 0.332], [0.763, 0.763, 0.668], [0.039, 0.039, 0.240], [0.158, 0.158, 0.826], [0.352, 0.352, 0.866], [0.425, 0.425, 0.369], [0.575, 0.575, 0.631], [0.648, 0.648, 0.134], [0.842, 0.842, 0.174], [0.961, 0.961, 0.760], [0.500, 0.500, 0.000]]}

---

[8]
{"formula": "TbHo2Tc", "functional": "PBE", "state": "relaxed", "formation_enthalpy_0k_mev_per_atom": 11, "polymorph_energy_ev_per_atom": 0.1207, "spacegroup": "P4/mmm", "lattice": [[3.445, 0.000, 0.000], [0.000, 3.445, 0.000], [0.000, 0.000, 8.860]], "species": ["Tb", "Ho", "Ho", "Tc"], "frac_coords": [[0.000, 0.000, 0.000], [0.500, 0.500, 0.315], [0.500, 0.500, 0.685], [0.000, 0.000, 0.500]]}